VASP calculation (GGA-PBE) on an optimized crystal structure of Ce4PuP.

Cell and atoms, written as CIF:
```
data_Ce4PuP
_chemical_formula_sum 'Ce16 Pu4 P4'
_cell_length_a 7.786
_cell_length_b 8.864
_cell_length_c 9.213
_cell_angle_alpha 90.00
_cell_angle_beta 110.60
_cell_angle_gamma 90.00
_space_group_name_H-M_alt 'P 1 21/c 1'
_space_group_IT_number 14
loop_
_space_group_symop_operation_xyz
'x,y,z'
'-x,-y,-z'
'-x,y+1/2,-z+1/2'
'x,-y+1/2,z+1/2'
loop_
_atom_site_label
_atom_site_type_symbol
_atom_site_fract_x
_atom_site_fract_y
_atom_site_fract_z
Ce1 Ce 0.045 0.148 0.118
Ce2 Ce 0.226 0.031 0.480
Ce3 Ce 0.256 0.726 0.719
Ce4 Ce 0.357 0.124 0.894
Pu1 Pu 0.017 0.103 0.747
P1 P 0.441 0.079 0.255
```

## Properties
**Volume**: 148.8 Å³/f.u.
**Total moment**: 0.493 μB per atom
**ΔE_f**: -362 meV per atom